TaFeP after structural relaxation, computed with GGA-PBEsol.

The energy of formation comes out at -0.96 eV/atom.

The structure belongs to space group Pnma (No. 62); the cell edges are 6.057, 3.556 and 6.866 Å and the angles 90.00°, 90.00° and 90.00°. The distinct sites, in fractional coordinates, are Ta at (0.022, 0.250, 0.177), Fe at (0.142, 0.250, 0.563) and P at (0.222, 0.750, 0.381).



Zr4Sc5 after structural relaxation, computed with GGA-PBEsol.

The energy of formation comes out at 0.04 eV/atom.

The structure belongs to space group P6_3/mcm (No. 193); the cell edges are 8.5740, 8.5740 and 6.3255 Å and the angles 90.00°, 90.00° and 120.00°. The distinct sites, in fractional coordinates, are Zr at (0.0000, 0.0000, 0.0000), Zr at (0.0000, 0.3276, 0.2500), Sc at (0.0000, 0.3348, 0.7500) and Sc at (0.3333, 0.6667, 0.0000).



KHgOs2 after structural relaxation, computed with GGA-PBEsol.

The energy of formation comes out at 1.17 eV/atom.

The structure belongs to space group R-3m (No. 166, hexagonal axes); the cell edges are 2.7967, 2.7967 and 31.4749 Å and the angles 90.00°, 90.00° and 120.00°. The distinct sites, in fractional coordinates, are K at (0.0000, 0.0000, 0.0000), Hg at (0.0000, 0.0000, 0.5000) and Os at (0.0000, 0.0000, 0.2424).